Below is crystalline BaAs2Pd6 at its relaxed geometry, with properties calculated at the PBE level.

Summary:
E_form ... -0.460 eV per atom
E ... -5.17 eV/atom
Calculated volume ... 175 Å³/f.u.
DOS at the Fermi energy ... 8.1 states/eV per cell
Mass density ... 8.78 g/cm3
Crystal system ... tetragonal
M_tot ... 0.0 μB per formula unit

Lattice parameters (Å, degrees): 4.2284 4.2284 9.7957 90.00 90.00 90.00
Positions (direct):
Ba: 0.0000 0.0000 0.0000
As: 0.5000 0.5000 0.1825
As: 0.5000 0.5000 0.8175
Pd: 0.0000 0.0000 0.5000
Pd: 0.0000 0.5000 0.3107
Pd: 0.0000 0.5000 0.6893
Pd: 0.5000 0.0000 0.3107
Pd: 0.5000 0.0000 0.6893
Pd: 0.5000 0.5000 0.5000

---

Below is crystalline BaAs2Pd at its relaxed geometry, with properties calculated at the PBE level.

Summary:
E_form ... -0.713 eV per atom
E ... -4.82 eV/atom
Calculated volume ... 111 Å³/f.u.
DOS at the Fermi energy ... 1.9 states/eV per cell
Mass density ... 5.87 g/cm3
Crystal system ... monoclinic
M_tot ... 0.0 μB per formula unit

Lattice parameters (Å, degrees): 4.9338 4.9338 9.4835 100.85 100.85 89.51
Positions (direct):
Ba: 0.1080 0.8920 0.5000
Ba: 0.8920 0.1080 0.0000
As: 0.3864 0.6254 0.0190
As: 0.4606 0.9990 0.2442
As: 0.6254 0.3864 0.5190
As: 0.9990 0.4606 0.7442
Pd: 0.5048 0.5760 0.7681
Pd: 0.5760 0.5048 0.2681

---

Below is crystalline Ba8As2Pd at its relaxed geometry, with properties calculated at the PBE level.

Summary:
E_form ... -0.535 eV per atom
E ... -3.25 eV/atom
Calculated volume ... 544 Å³/f.u.
DOS at the Fermi energy ... 11.2 states/eV per cell
Mass density ... 4.14 g/cm3
Crystal system ... monoclinic
M_tot ... 0.6 μB per formula unit

Lattice parameters (Å, degrees): 8.6320 8.6320 8.1128 104.27 104.27 70.69
Positions (direct):
Ba: 0.0691 0.0691 0.2495
Ba: 0.1392 0.5565 0.2567
Ba: 0.3650 0.3650 0.7584
Ba: 0.4435 0.8608 0.7433
Ba: 0.5565 0.1392 0.2567
Ba: 0.6350 0.6350 0.2416
Ba: 0.8608 0.4435 0.7433
Ba: 0.9309 0.9309 0.7505
As: 0.1883 0.1883 0.9660
As: 0.8117 0.8117 0.0340
Pd: 0.5000 0.5000 0.5000

---

Below is crystalline Ba2AsPd6 at its relaxed geometry, with properties calculated at the PBE level.

Summary:
E_form ... -0.485 eV per atom
E ... -4.89 eV/atom
Calculated volume ... 189 Å³/f.u.
DOS at the Fermi energy ... 5.0 states/eV per cell
Mass density ... 8.69 g/cm3
Crystal system ... monoclinic
M_tot ... 0.0 μB per formula unit

Lattice parameters (Å, degrees): 6.0082 6.0082 6.3227 103.84 103.84 59.38
Positions (direct):
Ba: 0.1322 0.1322 0.3247
Ba: 0.8678 0.8678 0.6753
As: 0.5000 0.5000 0.5000
Pd: 0.1081 0.6047 0.1846
Pd: 0.3859 0.3859 0.8140
Pd: 0.3953 0.8919 0.8154
Pd: 0.6047 0.1081 0.1846
Pd: 0.6141 0.6141 0.1860
Pd: 0.8919 0.3953 0.8154

---

Below is crystalline Ba3As4Pd2 at its relaxed geometry, with properties calculated at the PBE level.

Summary:
E_form ... -0.922 eV per atom
E ... -4.78 eV/atom
Calculated volume ... 245 Å³/f.u.
DOS at the Fermi energy ... 5.4 states/eV per cell
Mass density ... 6.27 g/cm3
Crystal system ... monoclinic
M_tot ... 0.0 μB per formula unit

Lattice parameters (Å, degrees): 6.5009 6.5009 8.9362 95.54 95.54 40.69
Positions (direct):
Ba: 0.0000 0.0000 0.0000
Ba: 0.3368 0.3368 0.3352
Ba: 0.6632 0.6632 0.6648
As: 0.0549 0.0549 0.3832
As: 0.2808 0.2808 0.9420
As: 0.7192 0.7192 0.0580
As: 0.9451 0.9451 0.6168
Pd: 0.3878 0.3878 0.7188
Pd: 0.6122 0.6122 0.2812

---

Below is crystalline BaAs2Pd4 at its relaxed geometry, with properties calculated at the PBE level.

Summary:
E_form ... -0.609 eV per atom
E ... -5.18 eV/atom
Calculated volume ... 145 Å³/f.u.
DOS at the Fermi energy ... 4.3 states/eV per cell
Mass density ... 8.17 g/cm3
Crystal system ... orthorhombic
M_tot ... 0.0 μB per formula unit

Lattice parameters (Å, degrees): 7.3772 7.3772 4.5605 90.00 90.00 144.28
Positions (direct):
Ba: 0.0000 0.0000 0.0000
As: 0.3833 0.6167 0.5000
As: 0.6167 0.3833 0.5000
Pd: 0.1888 0.8112 0.5000
Pd: 0.3118 0.6882 0.0000
Pd: 0.6882 0.3118 0.0000
Pd: 0.8112 0.1888 0.5000

---

Below is crystalline Ba4As2Pd at its relaxed geometry, with properties calculated at the PBE level.

Summary:
E_form ... -0.664 eV per atom
E ... -3.83 eV/atom
Calculated volume ... 288 Å³/f.u.
DOS at the Fermi energy ... 0.4 states/eV per cell
Mass density ... 4.65 g/cm3
Crystal system ... tetragonal
M_tot ... 0.0 μB per formula unit

Lattice parameters (Å, degrees): 9.6240 9.6240 9.6240 145.28 145.28 49.92
Positions (direct):
Ba: 0.0000 0.5000 0.5000
Ba: 0.1878 0.1878 0.0000
Ba: 0.5000 0.0000 0.5000
Ba: 0.8122 0.8122 0.0000
As: 0.3702 0.3702 0.0000
As: 0.6298 0.6298 0.0000
Pd: 0.0000 0.0000 0.0000

---

Below is crystalline Ba2As2Pd at its relaxed geometry, with properties calculated at the PBE level.

Summary:
E_form ... -0.952 eV per atom
E ... -4.62 eV/atom
Calculated volume ... 149 Å³/f.u.
DOS at the Fermi energy ... 5.2 states/eV per cell
Mass density ... 5.92 g/cm3
Crystal system ... monoclinic
M_tot ... 0.0 μB per formula unit

Lattice parameters (Å, degrees): 6.5011 6.5011 11.7946 108.15 108.15 39.25
Positions (direct):
Ba: 0.0850 0.0850 0.4009
Ba: 0.3022 0.3022 0.8610
Ba: 0.6978 0.6978 0.1390
Ba: 0.9150 0.9150 0.5991
As: 0.0376 0.0376 0.9104
As: 0.3469 0.3469 0.3528
As: 0.6531 0.6531 0.6472
As: 0.9624 0.9624 0.0896
Pd: 0.4278 0.4278 0.1815
Pd: 0.5722 0.5722 0.8185